The following is a DFT calculation (PBE with a Hubbard U) of a geometry-optimized V3Cr3Te2O16 structure.

Lattice parameters (Å, degrees): 5.9839 5.9991 9.2588 89.17 89.27 60.24
Fractional positions:
1 V 0.0000 0.0000 0.0000
2 V 0.1717 0.6623 0.4977
3 V 0.5113 0.4891 0.0074
4 Cr 0.1718 0.1738 0.5124
5 Cr 0.5127 0.0019 0.0159
6 Cr 0.6842 0.6608 0.5131
7 Te 0.0027 0.4962 0.2306
8 Te 0.6726 0.1620 0.7288
9 O 0.0210 0.5091 0.6127
10 O 0.1601 0.6591 0.1218
11 O 0.1646 0.1783 0.1235
12 O 0.2970 0.3570 0.3729
13 O 0.3302 0.8405 0.9235
14 O 0.3372 0.8257 0.4216
15 O 0.3902 0.3040 0.8771
16 O 0.5125 0.0008 0.6246
17 O 0.5132 0.4836 0.6227
18 O 0.6809 0.6595 0.1275
19 O 0.6986 0.1556 0.1134
20 O 0.8211 0.8733 0.8776
21 O 0.8297 0.2991 0.8693
22 O 0.8639 0.3542 0.3799
23 O 0.8660 0.7871 0.3747
24 O 0.9931 0.0020 0.6205

Calculated values
- symmetry = P1, No. 1
- ρ (g cm⁻³) = 4.7
- calculated total energy (eV/atom) = -7.04